# PBE with a Hubbard U TiVGe2O8, relaxed
# VASP energy	-0.5304	Ry per atom
# size of the total moment	1.00	μB/f.u.
data_TiVGe2O8
_chemical_formula_sum 'Ti2 V2 Ge4 O16'
_cell_length_a 6.457
_cell_length_b 6.457
_cell_length_c 6.203
_cell_angle_alpha 90.00
_cell_angle_beta 90.00
_cell_angle_gamma 90.00
_space_group_name_H-M_alt 'I -4 m 2'
_space_group_IT_number 119
_space_group_name_Hall 'I -4 -2'
loop_
_atom_site_label
_atom_site_type_symbol
_atom_site_fract_x
_atom_site_fract_y
_atom_site_fract_z
Ti1 Ti 0.000 0.000 0.000
V1 V 0.000 0.500 0.250
Ge1 Ge 0.000 0.000 0.500
Ge2 Ge 0.000 0.500 0.750
O1 O 0.000 0.189 0.297
O2 O 0.000 0.311 0.955